one | An optimized crystal structure of Sr2ScAg, computed with PBE.

Output
Crystal system: orthorhombic

```
data_Sr2ScAg
_symmetry_space_group_name_H-M 'C m m m'
_symmetry_Int_Tables_number 65
_symmetry_space_group_name_Hall '-C 2 2'
_cell_length_a 8.072
_cell_length_b 8.103
_cell_length_c 4.044
_cell_angle_alpha 90.00
_cell_angle_beta 90.00
_cell_angle_gamma 90.00
loop_
_atom_site_label
_atom_site_type_symbol
_atom_site_fract_x
_atom_site_fract_y
_atom_site_fract_z
_atom_site_occupancy
Sr1 Sr 0.250 0.250 0.000 1
Sc1 Sc 0.000 0.000 0.500 1
Ag1 Ag 0.000 0.500 0.500 1
```


two | An optimized crystal structure of Sr2ScAg, computed with PBE.

Output
Crystal system: trigonal

```
data_Sr2ScAg
_symmetry_space_group_name_H-M 'R -3 m'
_symmetry_Int_Tables_number 166
_symmetry_space_group_name_Hall '-R 3 2"'
_cell_length_a 3.9137
_cell_length_b 3.9137
_cell_length_c 32.0289
_cell_angle_alpha 90.00
_cell_angle_beta 90.00
_cell_angle_gamma 120.00
loop_
_atom_site_label
_atom_site_type_symbol
_atom_site_fract_x
_atom_site_fract_y
_atom_site_fract_z
_atom_site_occupancy
Sr1 Sr 0.0000 0.0000 0.2412 1
Sc1 Sc 0.0000 0.0000 0.0000 1
Ag1 Ag 0.0000 0.0000 0.5000 1
```


Stability ranking, top and bottom: one is the most stable and two is the least stable.


one | An optimized crystal structure of Sr3ScAg, computed with PBE.

Output
Crystal system: cubic

```
data_Sr3ScAg
_symmetry_space_group_name_H-M 'P m -3 m'
_symmetry_Int_Tables_number 221
_symmetry_space_group_name_Hall '-P 4 2 3'
_cell_length_a 6.073
_cell_length_b 6.073
_cell_length_c 6.073
_cell_angle_alpha 90.00
_cell_angle_beta 90.00
_cell_angle_gamma 90.00
loop_
_atom_site_label
_atom_site_type_symbol
_atom_site_fract_x
_atom_site_fract_y
_atom_site_fract_z
_atom_site_occupancy
Sr1 Sr 0.000 0.000 0.500 1
Sc1 Sc 0.500 0.500 0.500 1
Ag1 Ag 0.000 0.000 0.000 1
```


two | An optimized crystal structure of Sr3ScAg, computed with PBE.

Output
Crystal system: cubic

```
data_Sr3ScAg
_symmetry_space_group_name_H-M 'P m -3 m'
_symmetry_Int_Tables_number 221
_symmetry_space_group_name_Hall '-P 4 2 3'
_cell_length_a 6.319
_cell_length_b 6.319
_cell_length_c 6.319
_cell_angle_alpha 90.00
_cell_angle_beta 90.00
_cell_angle_gamma 90.00
loop_
_atom_site_label
_atom_site_type_symbol
_atom_site_fract_x
_atom_site_fract_y
_atom_site_fract_z
_atom_site_occupancy
Sr1 Sr 0.000 0.000 0.500 1
Sc1 Sc 0.000 0.000 0.000 1
Ag1 Ag 0.500 0.500 0.500 1
```


Stability ranking, top and bottom: one is the most stable and two is the least stable.


one | An optimized crystal structure of SrSc2Ag2, computed with PBE.

Output
Crystal system: tetragonal

```
data_SrSc2Ag2
_symmetry_space_group_name_H-M 'P 4/m b m'
_symmetry_Int_Tables_number 127
_symmetry_space_group_name_Hall '-P 4 2ab'
_cell_length_a 8.504
_cell_length_b 8.504
_cell_length_c 3.307
_cell_angle_alpha 90.00
_cell_angle_beta 90.00
_cell_angle_gamma 90.00
loop_
_atom_site_label
_atom_site_type_symbol
_atom_site_fract_x
_atom_site_fract_y
_atom_site_fract_z
_atom_site_occupancy
Sr1 Sr 0.000 0.000 0.000 1
Sc1 Sc 0.131 0.369 0.000 1
Ag1 Ag 0.161 0.661 0.500 1
```


two | An optimized crystal structure of SrSc2Ag2, computed with PBE.

Output
Crystal system: tetragonal

```
data_SrSc2Ag2
_symmetry_space_group_name_H-M 'P 4/m b m'
_symmetry_Int_Tables_number 127
_symmetry_space_group_name_Hall '-P 4 2ab'
_cell_length_a 8.445
_cell_length_b 8.445
_cell_length_c 3.508
_cell_angle_alpha 90.00
_cell_angle_beta 90.00
_cell_angle_gamma 90.00
loop_
_atom_site_label
_atom_site_type_symbol
_atom_site_fract_x
_atom_site_fract_y
_atom_site_fract_z
_atom_site_occupancy
Sr1 Sr 0.000 0.000 0.000 1
Sc1 Sc 0.150 0.350 0.500 1
Ag1 Ag 0.133 0.633 0.000 1
```


three | An optimized crystal structure of SrSc2Ag2, computed with PBE.

Output
Crystal system: tetragonal

```
data_SrSc2Ag2
_symmetry_space_group_name_H-M 'I 4/m m m'
_symmetry_Int_Tables_number 139
_symmetry_space_group_name_Hall '-I 4 2'
_cell_length_a 4.470
_cell_length_b 4.470
_cell_length_c 13.364
_cell_angle_alpha 90.00
_cell_angle_beta 90.00
_cell_angle_gamma 90.00
loop_
_atom_site_label
_atom_site_type_symbol
_atom_site_fract_x
_atom_site_fract_y
_atom_site_fract_z
_atom_site_occupancy
Sr1 Sr 0.000 0.000 0.000 1
Sc1 Sc 0.000 0.500 0.250 1
Ag1 Ag 0.000 0.000 0.392 1
```


Stability ranking, top and bottom: three is the most stable and two is the least stable.


one | An optimized crystal structure of ScTaAg2, computed with PBE.

Output
Crystal system: monoclinic

```
data_ScTaAg2
_symmetry_space_group_name_H-M 'C 1 2/m 1'
_symmetry_Int_Tables_number 12
_symmetry_space_group_name_Hall '-C 2y'
_cell_length_a 10.124
_cell_length_b 2.902
_cell_length_c 5.212
_cell_angle_alpha 90.00
_cell_angle_beta 98.68
_cell_angle_gamma 90.00
loop_
_atom_site_label
_atom_site_type_symbol
_atom_site_fract_x
_atom_site_fract_y
_atom_site_fract_z
_atom_site_occupancy
Sc1 Sc 0.000 0.000 0.000 1
Ta1 Ta 0.000 0.500 0.500 1
Ag1 Ag 0.246 0.000 0.743 1
```


two | An optimized crystal structure of ScTaAg2, computed with PBE.

Output
Crystal system: tetragonal

```
data_ScTaAg2
_symmetry_space_group_name_H-M 'I -4 2 d'
_symmetry_Int_Tables_number 122
_symmetry_space_group_name_Hall 'I -4 2bw'
_cell_length_a 7.649
_cell_length_b 7.649
_cell_length_c 5.522
_cell_angle_alpha 90.00
_cell_angle_beta 90.00
_cell_angle_gamma 90.00
loop_
_atom_site_label
_atom_site_type_symbol
_atom_site_fract_x
_atom_site_fract_y
_atom_site_fract_z
_atom_site_occupancy
Sc1 Sc 0.000 0.000 0.000 1
Ta1 Ta 0.000 0.000 0.500 1
Ag1 Ag 0.239 0.750 0.625 1
```


three | An optimized crystal structure of ScTaAg2, computed with PBE.

Output
Crystal system: orthorhombic

```
data_ScTaAg2
_symmetry_space_group_name_H-M 'I m m 2'
_symmetry_Int_Tables_number 44
_symmetry_space_group_name_Hall 'I 2 -2'
_cell_length_a 3.001
_cell_length_b 5.033
_cell_length_c 10.070
_cell_angle_alpha 90.00
_cell_angle_beta 90.00
_cell_angle_gamma 90.00
loop_
_atom_site_label
_atom_site_type_symbol
_atom_site_fract_x
_atom_site_fract_y
_atom_site_fract_z
_atom_site_occupancy
Sc1 Sc 0.000 0.000 0.000 1
Ta1 Ta 0.000 0.500 0.756 1
Ag1 Ag 0.000 0.000 0.504 1
Ag2 Ag 0.000 0.500 0.241 1
```


Stability ranking, top and bottom: three is the most stable and two is the least stable.


one | An optimized crystal structure of ScTaAg2, computed with PBE.

Output
Crystal system: tetragonal

```
data_ScTaAg2
_symmetry_space_group_name_H-M 'P 4 m m'
_symmetry_Int_Tables_number 99
_symmetry_space_group_name_Hall 'P 4 -2'
_cell_length_a 2.982
_cell_length_b 2.982
_cell_length_c 8.561
_cell_angle_alpha 90.00
_cell_angle_beta 90.00
_cell_angle_gamma 90.00
loop_
_atom_site_label
_atom_site_type_symbol
_atom_site_fract_x
_atom_site_fract_y
_atom_site_fract_z
_atom_site_occupancy
Sc1 Sc 0.000 0.000 0.000 1
Ta1 Ta 0.500 0.500 0.248 1
Ag1 Ag 0.000 0.000 0.495 1
Ag2 Ag 0.500 0.500 0.739 1
```


two | An optimized crystal structure of ScTaAg2, computed with PBE.

Output
Crystal system: tetragonal

```
data_ScTaAg2
_symmetry_space_group_name_H-M 'P 4/m m m'
_symmetry_Int_Tables_number 123
_symmetry_space_group_name_Hall '-P 4 2'
_cell_length_a 5.031
_cell_length_b 5.031
_cell_length_c 2.986
_cell_angle_alpha 90.00
_cell_angle_beta 90.00
_cell_angle_gamma 90.00
loop_
_atom_site_label
_atom_site_type_symbol
_atom_site_fract_x
_atom_site_fract_y
_atom_site_fract_z
_atom_site_occupancy
Sc1 Sc 0.000 0.000 0.000 1
Ta1 Ta 0.500 0.500 0.000 1
Ag1 Ag 0.000 0.500 0.500 1
```


three | An optimized crystal structure of ScTaAg2, computed with PBE.

Output
Crystal system: orthorhombic

```
data_ScTaAg2
_symmetry_space_group_name_H-M 'C m m m'
_symmetry_Int_Tables_number 65
_symmetry_space_group_name_Hall '-C 2 2'
_cell_length_a 5.855
_cell_length_b 8.506
_cell_length_c 2.978
_cell_angle_alpha 90.00
_cell_angle_beta 90.00
_cell_angle_gamma 90.00
loop_
_atom_site_label
_atom_site_type_symbol
_atom_site_fract_x
_atom_site_fract_y
_atom_site_fract_z
_atom_site_occupancy
Sc1 Sc 0.000 0.000 0.000 1
Ta1 Ta 0.000 0.500 0.000 1
Ag1 Ag 0.250 0.250 0.500 1
```


Stability ranking, top and bottom: one is the most stable and two is the least stable.


one | An optimized crystal structure of ScTaAg2, computed with PBE.

Output
Crystal system: trigonal

```
data_ScTaAg2
_symmetry_space_group_name_H-M 'R -3 m'
_symmetry_Int_Tables_number 166
_symmetry_space_group_name_Hall '-R 3 2"'
_cell_length_a 2.9603
_cell_length_b 2.9603
_cell_length_c 29.7933
_cell_angle_alpha 90.00
_cell_angle_beta 90.00
_cell_angle_gamma 120.00
loop_
_atom_site_label
_atom_site_type_symbol
_atom_site_fract_x
_atom_site_fract_y
_atom_site_fract_z
_atom_site_occupancy
Sc1 Sc 0.0000 0.0000 0.0000 1
Ta1 Ta 0.0000 0.0000 0.5000 1
Ag1 Ag 0.0000 0.0000 0.2496 1
```


two | An optimized crystal structure of ScTaAg2, computed with PBE.

Output
Crystal system: cubic

```
data_ScTaAg2
_symmetry_space_group_name_H-M 'F m -3 m'
_symmetry_Int_Tables_number 225
_symmetry_space_group_name_Hall '-F 4 2 3'
_cell_length_a 6.726
_cell_length_b 6.726
_cell_length_c 6.726
_cell_angle_alpha 90.00
_cell_angle_beta 90.00
_cell_angle_gamma 90.00
loop_
_atom_site_label
_atom_site_type_symbol
_atom_site_fract_x
_atom_site_fract_y
_atom_site_fract_z
_atom_site_occupancy
Sc1 Sc 0.000 0.000 0.000 1
Ta1 Ta 0.000 0.000 0.500 1
Ag1 Ag 0.250 0.250 0.250 1
```


Stability ranking, top and bottom: one is the most stable and two is the least stable.